Entry from Alexandria via LeMat-Bulk: an optimized crystal structure of SrPu2Ru (GGA-PBE).

Computed properties:
Its energy of formation from the pure elements is 0.144 eV/atom. The value obtained for the relative energy among the computed polymorphs is 0.84 kcal/mol of atoms.

a = 3.9988 Å, b = 3.9988 Å, c = 27.6437 Å
α = 90.00°, β = 90.00°, γ = 120.00°
With the nearest neighbours (Å) after each atom.
Space group R-3m (No. 166, hexagonal axes)
One atom of each set of equivalent atoms:
1 Sr 0.0000 0.0000 0.0000 [3 per cell]  6 Pu 3.91, 6 Sr 4.00
2 Pu 0.0000 0.0000 0.2192 [6 per cell]  3 Ru 2.73
3 Ru 0.0000 0.0000 0.5000 [3 per cell]  6 Pu 2.73

---

Entry from Alexandria via LeMat-Bulk: an optimized crystal structure of ZrPbSe (GGA-PBE).

Computed properties:
The value obtained for the relative energy among the computed polymorphs is 0.00 kcal/mol of atoms.

a = 3.5682 Å, b = 3.5682 Å, c = 11.3267 Å
α = 90.00°, β = 90.00°, γ = 90.00°
With the nearest neighbours (Å) after each atom.
Space group I4mm (No. 107)
One atom of each set of equivalent atoms:
1 Zr 0.0000 0.0000 0.0000 [2 per cell]  4 Se 2.74
2 Pb 0.0000 0.0000 0.3037 [2 per cell]  5 Se 3.30-3.46, 5 Zr 3.36-3.44, 4 Pb 3.57
3 Se 0.0000 0.0000 0.5949 [2 per cell]  4 Zr 2.74

---

- Number 2 is which compound?
  ZrPbSe

---

Copy entry 1 word for word.
Entry from Alexandria via LeMat-Bulk: an optimized crystal structure of SrPu2Ru (GGA-PBE).

Computed properties:
Its energy of formation from the pure elements is 0.144 eV/atom. The value obtained for the relative energy among the computed polymorphs is 0.84 kcal/mol of atoms.

a = 3.9988 Å, b = 3.9988 Å, c = 27.6437 Å
α = 90.00°, β = 90.00°, γ = 120.00°
With the nearest neighbours (Å) after each atom.
Space group R-3m (No. 166, hexagonal axes)
One atom of each set of equivalent atoms:
1 Sr 0.0000 0.0000 0.0000 [3 per cell]  6 Pu 3.91, 6 Sr 4.00
2 Pu 0.0000 0.0000 0.2192 [6 per cell]  3 Ru 2.73
3 Ru 0.0000 0.0000 0.5000 [3 per cell]  6 Pu 2.73